Sm3MnAg3S8: optimized geometry, PBE.

The space group is C2/m (No. 12) and the conventional cell measures 13.343, 7.973 and 7.804 Å, with angles of 90.00, 123.70 and 90.00 degrees. The asymmetric unit holds Sm at (0.000, 0.000, 0.000), Sm at (0.250, 0.250, 0.500), Mn at (0.000, 0.500, 0.000), Ag at (0.000, 0.500, 0.500), Ag at (0.250, 0.250, 0.000), S at (0.002, 0.284, 0.783), S at (0.218, 0.500, 0.216) and S at (0.248, 0.000, 0.254).

For the total energy, the calculation gives -0.3950 Ry per atom. The calculation puts the formation energy without anion corrections at -1.048 eV per atom.